# 1
DFT (PBE) results for an optimized crystal structure of ZrRe2Tc.

```
4
Lattice="-2.7584 1.7724 -4.2202 -3.0103 -1.3916 -4.1907 -4.4256 0.3583 0.6471" Properties=species:S:1:pos:R:3 pbc="T T T"
Re -4.4311 0.3585 0.6201
Re -5.0916 0.3694 -3.8548
Zr -2.5486 0.1848 -1.9409
Tc -7.6457 0.5544 -5.8228
```

Results
- offset from the most stable computed form (meV/atom) = 32.3
- total magnetization (μB per formula unit) = 0.00
- calculated formation energy (meV/atom) = -34
- Fermi-level density of states (states/eV/f.u.) = 3.3


# 2
DFT (PBE) results for an optimized crystal structure of Ag2RhSe.

```
4
Lattice="4.3195 0.0000 0.0000 0.0000 2.9635 0.0098 0.0000 1.4702 5.4950" Properties=species:S:1:pos:R:3 pbc="T T T"
Ag 0.0000 2.7761 0.0178
Se 2.1598 2.7711 3.9551
Ag 2.1598 1.2933 1.4197
Rh 0.0000 2.7736 2.8743
```

Results
- total magnetization (μB per formula unit) = 0.00
- formation energy (no corrections) (eV/atom) = 0.10
- Fermi-level density of states (states/eV/f.u.) = 2.1


# 3
DFT (PBE) results for an optimized crystal structure of Hf12In3Ag.

```
16
Lattice="5.3769 -0.8801 0.0000 -0.8801 5.3769 0.0000 0.0000 0.0000 12.4297" Properties=species:S:1:pos:R:3 pbc="T T T"
In 0.0000 0.0000 9.3925
In 0.0000 0.0000 3.0372
Hf 2.6885 -0.4400 10.8827
Hf 2.6885 -0.4400 1.5470
Hf 2.2484 2.2484 3.0865
Hf 2.2484 2.2484 9.3431
Hf 2.6885 -0.4400 4.6554
Hf -0.4400 2.6885 4.6554
Hf -0.4400 2.6885 1.5470
Ag 0.0000 0.0000 0.0000
In 0.0000 0.0000 6.2148
Hf 2.6885 -0.4400 7.7743
Hf -0.4400 2.6885 7.7743
Hf -0.4400 2.6885 10.8827
Hf 2.2484 2.2484 0.0000
Hf 2.2484 2.2484 6.2148
```

Results
- total magnetization (μB per formula unit) = 0.00
- calculated formation energy (meV/atom) = -3
- Fermi-level density of states (states/eV/f.u.) = 17.8


# 4
DFT (PBE) results for an optimized crystal structure of ErZnCu.

```
3
Lattice="-3.0935 2.1087 -2.3996 -4.3128 -0.7650 0.7673 -2.5149 3.1453 1.8858" Properties=species:S:1:pos:R:3 pbc="T T T"
Cu -2.4803 1.1222 0.0634
Zn -4.9606 2.2445 0.1267
Er 0.0000 0.0000 0.0000
```

Results
- total magnetization (μB per formula unit) = 0.00
- calculated formation energy (meV/atom) = -138
- Fermi-level density of states (states/eV/f.u.) = 3.2


# 5
DFT (PBE) results for an optimized crystal structure of CoPOs2.

```
4
Lattice="-2.3571 5.5243 5.2839 -4.2852 3.5688 5.7353 -1.8147 3.4069 7.0066" Properties=species:S:1:pos:R:3 pbc="T T T"
P -2.1142 3.1250 4.5065
Os -8.4081 12.4278 17.9217
Os -4.2773 6.3222 9.1170
Co -6.3427 9.3750 13.5194
```

Results
- total magnetization (μB per formula unit) = 1.54
- calculated formation energy (meV/atom) = 199
- Fermi-level density of states (states/eV/f.u.) = 4.4


# 6
DFT (PBE) results for an optimized crystal structure of MgTlZn.

```
3
Lattice="6.1530 -0.1947 0.2057 5.2965 3.1361 0.2244 0.8564 0.2013 3.3248" Properties=species:S:1:pos:R:3 pbc="T T T"
Mg 11.2631 2.8931 0.4811
Tl 7.9932 2.0473 1.3746
Zn 4.4991 1.1435 2.3294
```

Results
- offset from the most stable computed form (meV/atom) = 0.0
- total magnetization (μB per formula unit) = 0.00
- calculated formation energy (meV/atom) = 42
- Fermi-level density of states (states/eV/f.u.) = 1.1


# 7
DFT (PBE) results for an optimized crystal structure of Ti3CdGe.

```
5
Lattice="-2.6773 2.0966 3.5534 -3.8693 -2.7463 -1.2949 1.4322 -3.5004 3.1443" Properties=species:S:1:pos:R:3 pbc="T T T"
Ti -1.9346 -1.3732 -0.6475
Cd 0.0000 0.0000 0.0000
Ti -1.3387 1.0483 1.7767
Ti 0.7161 -1.7502 1.5722
Ge -2.5572 -2.0750 2.7014
```

Results
- offset from the most stable computed form (meV/atom) = 861.1
- total magnetization (μB per formula unit) = 2.00
- calculated formation energy (meV/atom) = 1152
- Fermi-level density of states (states/eV/f.u.) = 2.5


# 8
DFT (PBE) results for an optimized crystal structure of GeRuBr2.

```
4
Lattice="-2.5293 -1.2323 3.9777 -4.4870 1.7728 0.6799 -3.8654 -2.9408 -0.3851" Properties=species:S:1:pos:R:3 pbc="T T T"
Ge 0.0000 0.0000 0.0000
Br -8.1613 -1.8002 3.2045
Br -2.7204 -0.6001 1.0682
Ru -5.4409 -1.2001 2.1363
```

Results
- offset from the most stable computed form (meV/atom) = 92.2
- total magnetization (μB per formula unit) = 2.07
- formation energy (no corrections) (eV/atom) = 0.67
- Fermi-level density of states (states/eV/f.u.) = 3.9